A plane-wave DFT calculation with PBE-GGA was carried out for a geometry-optimized AcTb2NdEr5 structure.

Cell lengths 9.886, 9.886, 9.886 Å; angles 126.68, 126.68, 78.78 degrees
Sites, in units of the cell vectors:
1 Ac 0.250 0.250 0.000
2 Ac 0.750 0.750 0.000
3 Tb 0.115 0.615 0.730
4 Tb 0.385 0.115 0.500
5 Tb 0.615 0.885 0.500
6 Tb 0.885 0.385 0.270
7 Nd 0.250 0.750 0.500
8 Nd 0.750 0.250 0.500
9 Er 0.000 0.000 0.000
10 Er 0.075 0.169 0.500
11 Er 0.169 0.669 0.094
12 Er 0.331 0.425 0.500
13 Er 0.425 0.925 0.094
14 Er 0.500 0.500 0.000
15 Er 0.575 0.075 0.906
16 Er 0.669 0.575 0.500
17 Er 0.831 0.331 0.906
18 Er 0.925 0.831 0.500

Energy of formation in eV/atom: 0.266
Density of states at the Fermi level in states/eV per cell: 22.159
VASP energy in eV/cell: -77.12
Theoretical density in Mg/m³: 8.42
M_tot in μB per formula unit: 0.00
Crystal system: tetragonal